Density functional theory data (GGA-PBE) for a relaxed CsCuOsSe3 crystal.

abc: 8.2712 8.2712 9.7485
angles: 90.00 90.00 152.92
Last column: nearest neighbours and their distance in Å.
Element x y z (fractional)
Se 0.5999 0.4001 0.5391  1 Cu 2.36, 2 Os 2.55
Os 0.0000 0.0000 0.5000  6 Se 2.55-2.64
Se 0.4001 0.5999 0.4609  1 Cu 2.36, 2 Os 2.55
Cu 0.5275 0.4725 0.7500  4 Se 2.36-2.43
Os 0.0000 0.0000 0.0000  6 Se 2.55-2.64
Cu 0.4725 0.5275 0.2500  4 Se 2.36-2.43
Se 0.0637 0.9363 0.2500  2 Cu 2.43, 2 Os 2.64
Cs 0.2402 0.7598 0.7500  8 Se 3.62-3.82, 2 Cs 3.87, 2 Cu 3.93
Se 0.9363 0.0637 0.7500  2 Cu 2.43, 2 Os 2.64
Se 0.5999 0.4001 0.9609  1 Cu 2.36, 2 Os 2.55
Cs 0.7598 0.2402 0.2500  8 Se 3.62-3.82, 2 Cs 3.87, 2 Cu 3.93
Se 0.4001 0.5999 0.0391  1 Cu 2.36, 2 Os 2.55

Theoretical density in Mg/m³: 6.8
E in eV/atom: -4.653
V in Å³/f.u.: 152